Material: Cr3Sb5O16
Method: DFT, PBE with a Hubbard U
State: relaxed

abc: 6.1588 6.1588 9.9776
angles: 90.13 90.13 60.06
Closest atoms and distances in Å follow each position.
Element x y z (fractional)
1 Cr 0.6569 0.1688 0.1940  6 O 2.01-2.12
2 Cr 0.1688 0.6569 0.1940  6 O 2.01-2.12
3 Cr 0.8347 0.8347 0.7286  6 O 2.00-2.10
4 Sb 0.3465 0.3465 0.4593  3 O 2.08-2.18
5 Sb 0.6728 0.6728 0.9952  6 O 1.95-2.14
6 Sb 0.1672 0.1672 0.1971  6 O 1.97-2.08
7 Sb 0.8343 0.3273 0.7287  6 O 1.95-2.11
8 Sb 0.3273 0.8343 0.7287  6 O 1.95-2.11
9 O 0.6854 0.1601 0.6294  1 Sb 1.95, 1 Cr 2.00
10 O 0.4792 0.4792 0.3074  2 Cr 2.01, 1 Sb 2.08
11 O 0.3280 0.3280 0.0938  1 Sb 2.00, 2 Cr 2.02
12 O 0.0006 0.0006 0.2830  1 Sb 1.97, 2 Cr 2.04
13 O 0.9989 0.9989 0.8361  1 Cr 2.05, 2 Sb 2.06
14 O 0.1601 0.6854 0.6294  1 Sb 1.95, 1 Cr 2.00
15 O 0.4785 0.0406 0.3144  1 Cr 2.04, 2 Sb 2.04-2.18
16 O 0.0406 0.4785 0.3144  1 Cr 2.04, 2 Sb 2.04-2.18
17 O 0.8326 0.8326 0.0900  1 Sb 1.95, 2 Cr 2.07
18 O 0.1633 0.1633 0.6320  2 Sb 2.00
19 O 0.9500 0.5197 0.8496  2 Sb 2.05-2.08, 1 Cr 2.09
20 O 0.5197 0.9500 0.8496  2 Sb 2.05-2.08, 1 Cr 2.09
21 O 0.6628 0.6628 0.6263  2 Sb 2.06, 1 Cr 2.10
22 O 0.8323 0.3386 0.0898  2 Sb 2.02-2.08, 1 Cr 2.12
23 O 0.5207 0.5207 0.8553  3 Sb 2.11-2.14
24 O 0.3386 0.8323 0.0898  2 Sb 2.02-2.08, 1 Cr 2.12

E_tot, eV/atom: -6.57
Volume, Å³/cell: 327.9